No. 1
PrAl2NiPd2 | GGA-PBE | optimized geometry

Cell lengths 4.511, 4.511, 5.537 Å; angles 90.00, 90.00, 90.00 degrees
Fractional coordinates of all 6 atoms:
Pr 0.000 0.000 0.000
Al 0.000 0.500 0.500
Al 0.500 0.000 0.500
Ni 0.000 0.000 0.500
Pd 0.500 0.500 0.244
Pd 0.500 0.500 0.756

Output
Formation energy (eV/f.u.): -3.52
D(E_F) (states/eV/f.u.): 2.51
Calculated total energy (eV/atom): -5.325



No. 2
Li12Zn2Ga | GGA-PBE | optimized geometry

Cell lengths 5.413, 5.413, 20.706 Å; angles 90.00, 90.00, 90.00 degrees
Fractional coordinates of all 30 atoms:
Li 0.000 0.000 0.091
Li 0.000 0.000 0.909
Li 0.000 0.500 0.091
Li 0.000 0.500 0.909
Li 0.065 0.565 0.439
Li 0.065 0.935 0.561
Li 0.250 0.250 0.195
Li 0.250 0.250 0.323
Li 0.250 0.250 0.677
Li 0.250 0.250 0.805
Li 0.435 0.565 0.561
Li 0.435 0.935 0.439
Li 0.500 0.000 0.091
Li 0.500 0.000 0.909
Li 0.500 0.500 0.091
Li 0.500 0.500 0.909
Li 0.565 0.065 0.561
Li 0.565 0.435 0.439
Li 0.750 0.750 0.195
Li 0.750 0.750 0.323
Li 0.750 0.750 0.677
Li 0.750 0.750 0.805
Li 0.935 0.065 0.439
Li 0.935 0.435 0.561
Zn 0.250 0.750 0.197
Zn 0.250 0.750 0.803
Zn 0.750 0.250 0.197
Zn 0.750 0.250 0.803
Ga 0.250 0.750 0.000
Ga 0.750 0.250 0.000

Output
Formation energy (eV/f.u.): 1.38
D(E_F) (states/eV/f.u.): 6.70
Calculated total energy (eV/atom): -1.811



No. 3
WS2BrCl | GGA-PBE | optimized geometry

Cell lengths 4.938, 4.938, 4.858 Å; angles 90.00, 90.00, 90.00 degrees
Fractional coordinates of all 5 atoms:
W 0.000 0.000 0.000
S 0.000 0.500 0.500
S 0.500 0.000 0.500
Br 0.500 0.500 0.500
Cl 0.500 0.500 0.000

Output
D(E_F) (states/eV/f.u.): 3.85
Uncorrected formation energy (eV/atom): 1.75
Distance to the lowest polymorph of the same formula (eV per atom): 1.7126
Calculated total energy (eV/atom): -3.199



No. 4
BaSm4Pb4 | GGA-PBE | optimized geometry

Cell lengths 10.555, 10.555, 6.309 Å; angles 90.00, 90.00, 90.00 degrees
Fractional coordinates of all 18 atoms:
Ba 0.250 0.250 0.250
Ba 0.750 0.750 0.750
Sm 0.119 0.632 0.150
Sm 0.132 0.881 0.650
Sm 0.368 0.619 0.650
Sm 0.381 0.868 0.150
Sm 0.619 0.132 0.850
Sm 0.632 0.381 0.350
Sm 0.868 0.119 0.350
Sm 0.881 0.368 0.850
Pb 0.070 0.579 0.669
Pb 0.079 0.930 0.169
Pb 0.421 0.570 0.169
Pb 0.430 0.921 0.669
Pb 0.570 0.079 0.331
Pb 0.579 0.430 0.831
Pb 0.921 0.070 0.831
Pb 0.930 0.421 0.331

Output
Formation energy (eV/f.u.): -3.40
D(E_F) (states/eV/f.u.): 4.91
Calculated total energy (eV/atom): -4.337



No. 5
LiDyMgTl2 | GGA-PBE | optimized geometry

Cell lengths 5.677, 6.643, 6.408 Å; angles 90.00, 90.00, 90.00 degrees
Fractional coordinates of all 10 atoms:
Li 0.000 0.000 0.000
Li 0.500 0.000 0.000
Dy 0.250 0.500 0.218
Dy 0.750 0.500 0.782
Mg 0.250 0.000 0.372
Mg 0.750 0.000 0.628
Tl 0.250 0.266 0.736
Tl 0.250 0.734 0.736
Tl 0.750 0.266 0.264
Tl 0.750 0.734 0.264

Output
Formation energy (eV/f.u.): -0.66
D(E_F) (states/eV/f.u.): 2.92
Calculated total energy (eV/atom): -2.701